VASP calculation (PBE) on BaGdCdP2 after structural relaxation.

The space group is No. 36. As for the total magnetization: 0.013 μB per formula unit. The total DFT energy (no corrections) comes out at -45.63 eV/cell.

a b c (Å): 9.186 9.186 6.939
angles (deg): 90.00 90.00 153.33
Atoms (fractional coordinates):
Ba (0.697, 0.303, 0.436)
Ba (0.303, 0.697, 0.936)
Gd (0.471, 0.529, 0.241)
Gd (0.529, 0.471, 0.741)
P (0.334, 0.666, 0.429)
P (0.954, 0.046, 0.950)
P (0.666, 0.334, 0.929)
P (0.046, 0.954, 0.450)
Cd (0.105, 0.895, 0.078)
Cd (0.895, 0.105, 0.578)